# 1
! PBE-GGA Sc6TcHg3, relaxed; values from VASP
! Electronic total energy ... -105.41 eV per cell
! DFT formation energy ... -344.2 meV/atom
! Space-group type ... P2_1/m (11)
&SYSTEM
  ibrav = 0, nat = 20, ntyp = 3
/
ATOMIC_SPECIES
Sc 44.96 Sc.upf
Tc 98.00 Tc.upf
Hg 200.59 Hg.upf
CELL_PARAMETERS angstrom
4.952 0.000 0.000
0.000 8.063 -2.717
0.000 0.002 10.655
ATOMIC_POSITIONS crystal
Sc 0.250 0.466 0.088
Sc 0.750 0.534 0.912
Sc 0.250 0.124 0.167
Sc 0.750 0.876 0.833
Sc 0.250 0.684 0.670
Sc 0.750 0.316 0.330
Sc 0.250 0.220 0.493
Sc 0.750 0.780 0.507
Sc 0.250 0.851 0.330
Sc 0.750 0.149 0.670
Sc 0.250 0.102 0.859
Sc 0.750 0.898 0.141
Tc 0.250 0.960 0.600
Tc 0.750 0.040 0.400
Hg 0.250 0.512 0.374
Hg 0.750 0.488 0.626
Hg 0.250 0.396 0.782
Hg 0.750 0.604 0.218
Hg 0.250 0.780 0.975
Hg 0.750 0.220 0.025


# 2
! PBE-GGA CaAuSe2, relaxed; values from VASP
! Electronic total energy ... -15.02 eV per cell
! Formation energy (no corrections) ... -0.693 eV/atom
! Space-group type ... I-4m2 (119)
&SYSTEM
  ibrav = 0, nat = 4, ntyp = 3
/
ATOMIC_SPECIES
Ca 40.08 Ca.upf
Au 196.97 Au.upf
Se 78.96 Se.upf
CELL_PARAMETERS angstrom
6.568 0.002 0.000
4.172 5.073 0.000
-5.370 -2.538 2.804
ATOMIC_POSITIONS crystal
Ca 0.750 0.250 0.500
Au 0.500 0.500 0.000
Se 0.000 0.000 0.000
Se 0.250 0.750 0.500


# 3
! PBE-GGA CeCdAgAu, relaxed; values from VASP
! Electronic total energy ... -14.47 eV per cell
! DFT formation energy ... -372.8 meV/atom
! Space-group type ... F-43m (216)
&SYSTEM
  ibrav = 0, nat = 4, ntyp = 4
/
ATOMIC_SPECIES
Au 196.97 Au.upf
Ag 107.87 Ag.upf
Ce 140.12 Ce.upf
Cd 112.41 Cd.upf
CELL_PARAMETERS angstrom
5.032 0.000 0.000
2.516 4.357 0.000
2.516 1.452 4.108
ATOMIC_POSITIONS crystal
Au 0.500 0.500 0.500
Ag 0.000 0.000 0.000
Ce 0.250 0.250 0.250
Cd 0.750 0.750 0.750


# 4
! PBE-GGA Na2AcI6, relaxed; values from VASP
! Electronic total energy ... -26.14 eV per cell
! Formation energy (no corrections) ... -1.121 eV/atom
! Space-group type ... C2/m (12)
&SYSTEM
  ibrav = 0, nat = 9, ntyp = 3
/
ATOMIC_SPECIES
Na 22.99 Na.upf
Ac 227.00 Ac.upf
I 126.90 I.upf
CELL_PARAMETERS angstrom
5.183 0.000 0.000
2.591 6.226 0.146
2.591 2.442 12.692
ATOMIC_POSITIONS crystal
Na 0.223 0.718 0.836
Na 0.777 0.282 0.164
Ac 0.000 0.500 0.500
I 0.635 0.749 0.981
I 0.365 0.251 0.019
I 0.006 0.735 0.253
I 0.327 0.770 0.575
I 0.994 0.265 0.747
I 0.673 0.230 0.425


# 5
! PBE-GGA Te4As2Br3, relaxed; values from VASP
! Electronic total energy ... -54.81 eV per cell
! Formation energy (no corrections) ... -0.058 eV/atom
! Space-group type ... C2/c (15)
&SYSTEM
  ibrav = 0, nat = 18, ntyp = 3
/
ATOMIC_SPECIES
Te 127.60 Te.upf
As 74.92 As.upf
Br 79.90 Br.upf
CELL_PARAMETERS angstrom
9.166 -0.578 -0.414
-0.333 8.955 -0.972
-0.333 1.966 8.790
ATOMIC_POSITIONS crystal
Te 0.434 0.926 0.310
Te 0.066 0.690 0.074
Te 0.566 0.074 0.690
Te 0.934 0.310 0.926
Te 0.098 0.270 0.379
Te 0.402 0.621 0.730
Te 0.902 0.730 0.621
Te 0.598 0.379 0.270
As 0.427 0.174 0.432
As 0.073 0.568 0.826
As 0.573 0.826 0.568
As 0.927 0.432 0.174
Br 0.938 0.041 0.272
Br 0.562 0.728 0.959
Br 0.062 0.959 0.728
Br 0.438 0.272 0.041
Br 0.250 0.552 0.448
Br 0.750 0.448 0.552


# 6
! PBE-GGA Ac2ZnCd3, relaxed; values from VASP
! Electronic total energy ... -13.83 eV per cell
! DFT formation energy ... -265.7 meV/atom
! Space-group type ... Imm2 (44)
&SYSTEM
  ibrav = 0, nat = 6, ntyp = 3
/
ATOMIC_SPECIES
Ac 227.00 Ac.upf
Zn 65.41 Zn.upf
Cd 112.41 Cd.upf
CELL_PARAMETERS angstrom
4.922 0.000 -1.310
-0.290 3.833 -1.089
-0.163 0.546 9.289
ATOMIC_POSITIONS crystal
Ac 0.121 0.121 0.241
Ac 0.886 0.386 0.772
Zn 0.446 0.946 0.891
Cd 0.713 0.713 0.425
Cd 0.545 0.545 0.090
Cd 0.290 0.790 0.581


# 7
! PBE-GGA Dy2TlPt, relaxed; values from VASP
! Electronic total energy ... -20.50 eV per cell
! DFT formation energy ... -722.5 meV/atom
! Space-group type ... R-3m (166)
&SYSTEM
  ibrav = 0, nat = 4, ntyp = 3
/
ATOMIC_SPECIES
Tl 204.38 Tl.upf
Pt 195.08 Pt.upf
Dy 162.50 Dy.upf
CELL_PARAMETERS angstrom
-1.508 0.265 3.667
-3.734 -1.163 0.701
0.900 -7.812 3.088
ATOMIC_POSITIONS crystal
Tl 0.500 0.500 0.500
Pt 0.000 0.000 0.000
Dy 0.267 0.267 0.200
Dy 0.733 0.733 0.800


# 8
! PBE-GGA TmTh2C, relaxed; values from VASP
! Electronic total energy ... -28.51 eV per cell
! DFT formation energy ... 7.2 meV/atom
! Space-group type ... R-3m (166)
&SYSTEM
  ibrav = 0, nat = 4, ntyp = 3
/
ATOMIC_SPECIES
C 12.01 C.upf
Tm 168.93 Tm.upf
Th 232.04 Th.upf
CELL_PARAMETERS angstrom
-2.008 2.880 0.581
-3.061 -0.296 1.790
3.080 2.487 9.219
ATOMIC_POSITIONS crystal
C 0.500 0.500 0.500
Tm 0.000 0.000 0.000
Th 0.116 0.116 0.652
Th 0.884 0.884 0.348


# 9
! PBE-GGA SrCaPmNd, relaxed; values from VASP
! Electronic total energy ... -12.57 eV per cell
! DFT formation energy ... 159.1 meV/atom
! Space-group type ... F-43m (216)
&SYSTEM
  ibrav = 0, nat = 4, ntyp = 4
/
ATOMIC_SPECIES
Sr 87.62 Sr.upf
Ca 40.08 Ca.upf
Nd 144.24 Nd.upf
Pm 145.00 Pm.upf
CELL_PARAMETERS angstrom
6.074 0.000 0.000
3.037 5.260 0.000
3.037 1.753 4.959
ATOMIC_POSITIONS crystal
Sr 0.250 0.250 0.250
Ca 0.500 0.500 0.500
Nd 0.750 0.750 0.750
Pm 0.000 0.000 0.000